(1)
DFT (PBE) results for Si2Pt9 after structural relaxation.

abc: 7.7833 7.7833 7.7833
angles: 109.47 109.47 109.47
Sites, in units of the cell vectors:
1 Si 0.0000 0.0000 0.3962
2 Si 0.0000 0.3962 0.0000
3 Si 0.3962 0.0000 0.0000
4 Si 0.6038 0.6038 0.6038
5 Pt 0.0000 0.2216 0.2216
6 Pt 0.0000 0.2999 0.5912
7 Pt 0.0000 0.5912 0.2999
8 Pt 0.0000 0.7784 0.7784
9 Pt 0.2216 0.0000 0.2216
10 Pt 0.2216 0.2216 0.0000
11 Pt 0.2913 0.7001 0.7001
12 Pt 0.2999 0.0000 0.5912
13 Pt 0.2999 0.5912 0.0000
14 Pt 0.4088 0.4088 0.7087
15 Pt 0.4088 0.7087 0.4088
16 Pt 0.5912 0.0000 0.2999
17 Pt 0.5912 0.2999 0.0000
18 Pt 0.7001 0.2913 0.7001
19 Pt 0.7001 0.7001 0.2913
20 Pt 0.7087 0.4088 0.4088
21 Pt 0.7784 0.0000 0.7784
22 Pt 0.7784 0.7784 0.0000

The space group is I-43m, No. 217. The value obtained for the electronic total energy is -6.1619 eV per atom. As for the mass density: 16.58 g cm⁻³.

=====

(2)
DFT (PBE) results for NaMo2S2Br6 after structural relaxation.

abc: 8.7819 8.7819 8.7819
angles: 150.05 105.73 82.10
Sites, in units of the cell vectors:
1 Na 0.0000 0.0000 0.0000
2 Mo 0.3557 0.5000 0.8557
3 Mo 0.6443 0.5000 0.1443
4 S 0.3556 0.0000 0.3556
5 S 0.6444 0.0000 0.6444
6 Br 0.0410 0.3695 0.6715
7 Br 0.3020 0.6305 0.6715
8 Br 0.3430 0.3430 0.0000
9 Br 0.6570 0.6570 0.0000
10 Br 0.6980 0.3695 0.3285
11 Br 0.9590 0.6305 0.3285

The space group is Immm, No. 71. The value obtained for the electronic total energy is -4.3431 eV per atom. As for the mass density: 3.95 g cm⁻³.

=====

(3)
DFT (PBE) results for BePtNO after structural relaxation.

abc: 5.3742 6.0387 4.9217
angles: 90.00 90.00 90.00
Sites, in units of the cell vectors:
1 Be 0.1084 0.0723 0.0000
2 Be 0.3916 0.0723 0.5000
3 Be 0.6084 0.9277 0.0000
4 Be 0.8916 0.9277 0.5000
5 Pt 0.1774 0.6339 0.8905
6 Pt 0.3226 0.6339 0.3905
7 Pt 0.6774 0.3661 0.8905
8 Pt 0.8226 0.3661 0.3905
9 N 0.0340 0.3529 0.0423
10 N 0.4660 0.3529 0.5423
11 N 0.5340 0.6471 0.0423
12 N 0.9660 0.6471 0.5423
13 O 0.1559 0.9869 0.3232
14 O 0.3441 0.9869 0.8232
15 O 0.6559 0.0131 0.3232
16 O 0.8441 0.0131 0.8232

The space group is Pca2_1, No. 29. The value obtained for the electronic total energy is -6.4089 eV per atom. As for the mass density: 9.74 g cm⁻³.

=====

no.,volume (Å³/atom)
1,16.50
2,28.97
3,9.98